Compound: V2NO
Source: Alexandria via LeMat-Bulk
Functional: GGA+U
Structure: relaxed

## Properties
The raw total energy is -7.896 eV/atom. The calculation puts the energy relative to the lowest polymorph listed for this composition at 69 meV/atom.

Cell lengths 4.696, 4.696, 5.718 Å; angles 65.75, 65.75, 90.00 degrees
Each line ends with the local moment (μB).
Fractional positions:
V 0.132 0.625 0.250  2.32
V 0.875 0.868 0.750  2.32
N 0.250 0.750 0.500  -0.18
O 0.000 0.000 0.000  -0.05
N 0.500 0.500 0.000  -0.18
V 0.618 0.125 0.250  2.32
V 0.375 0.382 0.750  2.32
O 0.750 0.250 0.500  -0.05